Computed, not measured: a relaxed La2NdS3 crystal at the PBE-GGA level of DFT.

Cell lengths 13.616, 12.982, 7.164 Å; angles 79.33, 69.54, 31.13 degrees
Element x y z (fractional)
La 0.042 0.042 0.208
La 0.125 0.125 0.625
La 0.208 0.208 0.042
La 0.375 0.375 0.875
La 0.625 0.625 0.125
La 0.792 0.792 0.958
La 0.875 0.875 0.375
La 0.958 0.958 0.792
Nd 0.292 0.292 0.458
Nd 0.458 0.458 0.292
Nd 0.542 0.542 0.708
Nd 0.708 0.708 0.542
S 0.041 0.541 0.213
S 0.129 0.621 0.621
S 0.213 0.705 0.041
S 0.295 0.787 0.459
S 0.379 0.871 0.871
S 0.459 0.959 0.295
S 0.541 0.041 0.705
S 0.621 0.129 0.129
S 0.705 0.213 0.541
S 0.787 0.295 0.959
S 0.871 0.379 0.379
S 0.959 0.459 0.787

- space-group type = Fddd
- distance to the lowest polymorph of the same formula (kJ/mol of formula units) = 0
- calculated density (Mg/m³) = 5.77
- ΔE_f (raw) (eV per atom) = -2.126



Computed, not measured: a relaxed Mn2BeNbH crystal at the PBE-GGA level of DFT.

Cell lengths 3.896, 3.896, 3.351 Å; angles 90.00, 90.00, 90.00 degrees
Element x y z (fractional)
Mn 0.000 0.500 0.000
Mn 0.500 0.000 0.000
Be 0.000 0.000 0.500
Nb 0.500 0.500 0.500
H 0.000 0.000 0.000

- space-group type = P4/mmm
- total DFT energy (no corrections) (eV for the cell shown) = -35.48
- calculated density (Mg/m³) = 6.95



Computed, not measured: a relaxed SmSe4 crystal at the PBE-GGA level of DFT.

Cell lengths 5.684, 5.684, 5.684 Å; angles 90.00, 90.00, 90.00 degrees
Element x y z (fractional)
Sm 0.000 0.000 0.000
Se 0.000 0.000 0.500
Se 0.000 0.500 0.000
Se 0.500 0.000 0.000
Se 0.500 0.500 0.500

- space-group type = Pm-3m
- calculated density (Mg/m³) = 4.21
- ΔE_f (raw) (eV per atom) = 0.053



Computed, not measured: a relaxed HoEr2Tm2Sc crystal at the PBE-GGA level of DFT.

Cell lengths 6.475, 17.024, 3.291 Å; angles 90.00, 90.00, 90.00 degrees
Element x y z (fractional)
Ho 0.000 0.000 0.000
Ho 0.500 0.500 0.500
Er 0.247 0.148 0.500
Er 0.253 0.648 0.000
Er 0.747 0.352 0.000
Er 0.753 0.852 0.500
Tm 0.248 0.323 0.000
Tm 0.252 0.823 0.500
Tm 0.748 0.177 0.500
Tm 0.752 0.677 0.000
Sc 0.000 0.500 0.000
Sc 0.500 0.000 0.500

- space-group type = Pnnm
- calculated density (Mg/m³) = 8.08
- energy relative to the elements (kJ per mole of atoms) = 27



Computed, not measured: a relaxed Ac2In5Rh4 crystal at the PBE-GGA level of DFT.

Cell lengths 9.784, 8.630, 6.205 Å; angles 80.73, 60.52, 38.75 degrees
Element x y z (fractional)
Ac 0.148 0.148 0.852
Ac 0.852 0.852 0.148
In 0.000 0.000 0.500
In 0.250 0.250 0.250
In 0.500 0.500 0.000
In 0.500 0.500 0.500
In 0.750 0.750 0.750
Rh 0.226 0.513 0.487
Rh 0.487 0.774 0.226
Rh 0.513 0.226 0.774
Rh 0.774 0.487 0.513

- space-group type = Fmmm
- calculated density (Mg/m³) = 9.18
- energy relative to the elements (kJ per mole of atoms) = -42



Computed, not measured: a relaxed BaSr5Zn6 crystal at the PBE-GGA level of DFT.

Cell lengths 8.819, 8.819, 7.877 Å; angles 90.00, 90.00, 143.08 degrees
Element x y z (fractional)
Ba 0.000 0.000 0.000
Sr 0.000 0.000 0.500
Sr 0.332 0.668 0.000
Sr 0.334 0.666 0.500
Sr 0.666 0.334 0.500
Sr 0.668 0.332 0.000
Zn 0.169 0.831 0.255
Zn 0.169 0.831 0.745
Zn 0.500 0.500 0.258
Zn 0.500 0.500 0.742
Zn 0.831 0.169 0.255
Zn 0.831 0.169 0.745

- space-group type = Cmmm
- calculated density (Mg/m³) = 4.37
- energy relative to the elements (kJ per mole of atoms) = -17



Computed, not measured: a relaxed Dy8Pt3Se4S crystal at the PBE-GGA level of DFT.

Cell lengths 8.363, 8.363, 8.363 Å; angles 57.43, 57.43, 57.43 degrees
Element x y z (fractional)
Dy 0.240 0.747 0.747
Dy 0.243 0.243 0.243
Dy 0.253 0.253 0.760
Dy 0.253 0.760 0.253
Dy 0.747 0.240 0.747
Dy 0.747 0.747 0.240
Dy 0.757 0.757 0.757
Dy 0.760 0.253 0.253
Pt 0.000 0.000 0.500
Pt 0.000 0.500 0.000
Pt 0.500 0.000 0.000
Se 0.000 0.000 0.000
Se 0.000 0.500 0.500
Se 0.500 0.000 0.500
Se 0.500 0.500 0.000
S 0.500 0.500 0.500

- space-group type = R-3m
- calculated density (Mg/m³) = 9.53
- ΔE_f (raw) (eV per atom) = -1.571



Computed, not measured: a relaxed Be2WCl crystal at the PBE-GGA level of DFT.

Cell lengths 2.836, 2.836, 7.990 Å; angles 90.00, 90.00, 90.00 degrees
Element x y z (fractional)
Be 0.000 0.000 0.000
Be 0.500 0.500 0.117
W 0.500 0.500 0.803
Cl 0.000 0.000 0.586

- space-group type = P4mm
- distance to the lowest polymorph of the same formula (kJ/mol of formula units) = 117
- calculated density (Mg/m³) = 6.13
- ΔE_f (raw) (eV per atom) = 0.504



Computed, not measured: a relaxed KMgRu2 crystal at the PBE-GGA level of DFT.

Cell lengths 5.913, 5.913, 5.913 Å; angles 152.41, 130.33, 57.77 degrees
Element x y z (fractional)
K 0.000 0.000 0.000
Mg 0.500 0.500 0.000
Ru 0.275 0.775 0.500
Ru 0.725 0.225 0.500

- space-group type = Immm
- calculated density (Mg/m³) = 6.08
- energy relative to the elements (kJ per mole of atoms) = 85



Computed, not measured: a relaxed TbBe3Ni2 crystal at the PBE-GGA level of DFT.

Cell lengths 5.598, 5.598, 4.943 Å; angles 90.00, 90.00, 75.42 degrees
Element x y z (fractional)
Tb 0.173 0.827 0.750
Tb 0.827 0.173 0.250
Be 0.035 0.592 0.250
Be 0.408 0.965 0.250
Be 0.422 0.578 0.250
Be 0.578 0.422 0.750
Be 0.592 0.035 0.750
Be 0.965 0.408 0.750
Ni 0.298 0.298 0.000
Ni 0.298 0.298 0.500
Ni 0.702 0.702 0.000
Ni 0.702 0.702 0.500

- space-group type = Cmcm
- calculated density (Mg/m³) = 6.72
- energy relative to the elements (kJ per mole of atoms) = -33



Computed, not measured: a relaxed Ba3PuCu2Se6 crystal at the PBE-GGA level of DFT.

Cell lengths 7.723, 7.723, 8.305 Å; angles 90.00, 90.00, 120.00 degrees
Element x y z (fractional)
Ba 0.000 0.000 0.000
Ba 0.333 0.667 0.616
Ba 0.667 0.333 0.384
Pu 0.000 0.000 0.500
Cu 0.333 0.667 0.230
Cu 0.667 0.333 0.770
Se 0.165 0.329 0.293
Se 0.165 0.835 0.293
Se 0.329 0.165 0.707
Se 0.671 0.835 0.293
Se 0.835 0.165 0.707
Se 0.835 0.671 0.707

- space-group type = P-3m1
- calculated density (Mg/m³) = 4.87
- ΔE_f (raw) (eV per atom) = -1.183



Computed, not measured: a relaxed HfMnI crystal at the PBE-GGA level of DFT.

Cell lengths 4.070, 3.728, 10.198 Å; angles 90.00, 93.33, 90.00 degrees
Element x y z (fractional)
Hf 0.028 0.250 0.124
Hf 0.972 0.750 0.876
Mn 0.462 0.250 0.948
Mn 0.538 0.750 0.052
I 0.264 0.250 0.683
I 0.736 0.750 0.317

- space-group type = P2_1/m
- calculated density (Mg/m³) = 7.75
- ΔE_f (raw) (eV per atom) = -0.295



Computed, not measured: a relaxed NdNpZn4 crystal at the PBE-GGA level of DFT.

Cell lengths 5.517, 5.517, 5.517 Å; angles 60.00, 60.00, 60.00 degrees
Element x y z (fractional)
Nd 0.000 0.000 0.000
Np 0.750 0.750 0.750
Zn 0.375 0.375 0.375
Zn 0.375 0.375 0.875
Zn 0.375 0.875 0.375
Zn 0.875 0.375 0.375

- space-group type = F-43m
- calculated density (Mg/m³) = 8.99
- energy relative to the elements (kJ per mole of atoms) = -6



Computed, not measured: a relaxed KHfZrAu2 crystal at the PBE-GGA level of DFT.

Cell lengths 5.055, 5.055, 4.930 Å; angles 90.00, 90.00, 90.00 degrees
Element x y z (fractional)
K 0.000 0.000 0.000
Hf 0.000 0.000 0.500
Zr 0.500 0.500 0.500
Au 0.000 0.500 0.000
Au 0.500 0.000 0.000

- space-group type = P4/mmm
- calculated density (Mg/m³) = 9.27
- energy relative to the elements (kJ per mole of atoms) = 151



Computed, not measured: a relaxed Dy4Ge6O19 crystal at the PBE-GGA level of DFT.

Cell lengths 7.480, 7.480, 7.480 Å; angles 109.47, 109.47, 109.47 degrees
Element x y z (fractional)
Dy 0.000 0.000 0.682
Dy 0.000 0.682 0.000
Dy 0.318 0.318 0.318
Dy 0.682 0.000 0.000
Ge 0.166 0.666 0.500
Ge 0.334 0.500 0.834
Ge 0.500 0.166 0.666
Ge 0.500 0.834 0.334
Ge 0.666 0.500 0.166
Ge 0.834 0.334 0.500
O 0.000 0.000 0.000
O 0.000 0.347 0.347
O 0.000 0.653 0.653
O 0.036 0.370 0.758
O 0.242 0.612 0.278
O 0.278 0.242 0.612
O 0.334 0.964 0.722
O 0.347 0.000 0.347
O 0.347 0.347 0.000
O 0.370 0.758 0.036
O 0.388 0.630 0.666
O 0.612 0.278 0.242
O 0.630 0.666 0.388
O 0.653 0.000 0.653
O 0.653 0.653 0.000
O 0.666 0.388 0.630
O 0.722 0.334 0.964
O 0.758 0.036 0.370
O 0.964 0.722 0.334

- space-group type = I23
- calculated density (Mg/m³) = 7.16
- ΔE_f (raw) (eV per atom) = -2.168



Computed, not measured: a relaxed LaTiZn2 crystal at the PBE-GGA level of DFT.

Cell lengths 3.364, 3.364, 7.206 Å; angles 90.00, 90.00, 90.00 degrees
Element x y z (fractional)
La 0.000 0.000 0.000
Ti 0.000 0.000 0.500
Zn 0.500 0.500 0.309
Zn 0.500 0.500 0.691

- space-group type = P4/mmm
- distance to the lowest polymorph of the same formula (kJ/mol of formula units) = 0
- calculated density (Mg/m³) = 6.47
- energy relative to the elements (kJ per mole of atoms) = -15



Computed, not measured: a relaxed ScNi2Ru crystal at the PBE-GGA level of DFT.

Cell lengths 4.536, 4.536, 2.779 Å; angles 90.00, 90.00, 108.04 degrees
Element x y z (fractional)
Sc 0.000 0.000 0.000
Ni 0.000 0.500 0.500
Ni 0.500 0.000 0.500
Ru 0.500 0.500 0.000

- space-group type = Cmmm
- calculated density (Mg/m³) = 8.05
- energy relative to the elements (kJ per mole of atoms) = -18



Computed, not measured: a relaxed BaTiCdPb2 crystal at the PBE-GGA level of DFT.

Cell lengths 5.433, 5.433, 5.522 Å; angles 90.00, 90.00, 90.00 degrees
Element x y z (fractional)
Ba 0.000 0.000 0.000
Ti 0.500 0.500 0.500
Cd 0.500 0.500 0.000
Pb 0.000 0.500 0.500
Pb 0.500 0.000 0.500

- space-group type = P4/mmm
- calculated density (Mg/m³) = 7.25
- energy relative to the elements (kJ per mole of atoms) = -15



Computed, not measured: a relaxed La2ReW crystal at the PBE-GGA level of DFT.

Cell lengths 5.102, 5.102, 3.616 Å; angles 90.00, 90.00, 90.00 degrees
Element x y z (fractional)
La 0.000 0.500 0.000
La 0.500 0.000 0.000
Re 0.000 0.000 0.500
W 0.500 0.500 0.500

- space-group type = P4/mmm
- distance to the lowest polymorph of the same formula (kJ/mol of formula units) = 297
- calculated density (Mg/m³) = 11.43
- energy relative to the elements (kJ per mole of atoms) = 93



Computed, not measured: a relaxed MgCu2Cl crystal at the PBE-GGA level of DFT.

Cell lengths 5.832, 5.832, 5.832 Å; angles 100.76, 100.76, 128.81 degrees
Element x y z (fractional)
Mg 0.000 0.000 0.000
Mg 0.750 0.250 0.500
Cu 0.149 0.125 0.524
Cu 0.375 0.851 0.976
Cu 0.601 0.625 0.476
Cu 0.875 0.399 0.024
Cl 0.250 0.750 0.500
Cl 0.500 0.500 0.000

- space-group type = I-42d
- distance to the lowest polymorph of the same formula (kJ/mol of formula units) = 117
- calculated density (Mg/m³) = 4.45
- ΔE_f (raw) (eV per atom) = 0.037